Record 1
Computed, not measured: Ta3W after structural relaxation at the PBEsol level of DFT.

Values from the calculation:
DFT total energy in eV per cell: -51.6
Energy of formation in eV per atom: -0.036
D(E_F) in states/eV/f.u.: 4.410

Lattice parameters (Å, degrees): 4.596 4.596 3.223 90.00 90.00 90.00
Space group P4/mmm (No. 123)
One atom of each set of equivalent atoms:
Ta 0.000 0.000 0.000 (multiplicity 1)
Ta 0.000 0.500 0.500 (multiplicity 2)
W 0.500 0.500 0.000 (multiplicity 1)

---

Record 2
Computed, not measured: Rb2PdRuPt after structural relaxation at the PBEsol level of DFT.

Values from the calculation:
DFT total energy in eV per cell: -16.9
Energy of formation in eV per atom: 1.645
D(E_F) in states/eV/f.u.: 9.706

Lattice parameters (Å, degrees): 5.938 5.938 4.850 90.00 90.00 90.00
Space group P4/mmm (No. 123)
One atom of each set of equivalent atoms:
Rb 0.000 0.500 0.000 (multiplicity 2)
Pd 0.000 0.000 0.000 (multiplicity 1)
Ru 0.500 0.500 0.500 (multiplicity 1)
Pt 0.000 0.000 0.500 (multiplicity 1)

---

Record 3
Computed, not measured: RhSe2Br after structural relaxation at the PBEsol level of DFT.

Values from the calculation:
Relative energy among the computed polymorphs in meV/atom: 0.0
DFT total energy in eV per cell: -38.1
D(E_F) in states/eV/f.u.: 1.654
Uncorrected formation energy in eV/atom: -0.33

Lattice parameters (Å, degrees): 6.576 3.780 7.734 90.00 105.11 90.00
Space group C2/m (No. 12)
One atom of each set of equivalent atoms:
Rh 0.000 0.000 0.000 (multiplicity 2)
Se 0.119 0.500 0.845 (multiplicity 4)
Br 0.000 0.500 0.500 (multiplicity 2)

---

Q: The highest D(E_F) belongs to which entry?
A: Rb2PdRuPt